Density functional theory data (GGA-PBE) for Ac2ErIr2I2 after structural relaxation.

```
7
Lattice="-5.014 1.256 0.555 -1.373 -4.625 -1.936 3.237 -1.698 8.738" Properties=species:S:1:pos:R:3 pbc="T T T"
Ac 0.035 -2.670 6.352
Ac -3.184 -2.397 1.005
Er 0.000 0.000 0.000
Ir -0.687 -2.312 -0.968
Ir -2.507 0.628 0.278
I 0.017 -1.277 3.039
I -3.166 -3.789 4.318
```

Calculated values
Uncorrected energy in Ry/atom: -0.412